Crystalline Sm2Be3InCu12 at its relaxed geometry, computed with PBE.

Cell and atoms, written as extended XYZ:
```
18
Lattice="-5.406 2.460 -4.594 -7.211 -0.590 2.007 -3.938 6.145 1.762" Properties=species:S:1:pos:R:3 pbc="T T T"
Sm -9.879 4.783 -0.492
Sm -6.676 3.232 -0.333
Be -2.703 1.230 -2.297
Be -3.606 -0.295 1.004
Be -1.969 3.073 0.881
In 0.000 0.000 0.000
Cu -7.698 6.101 0.713
Cu -12.532 4.291 -1.445
Cu -11.917 5.835 1.219
Cu -8.520 4.036 -2.847
Cu -11.160 7.114 -1.548
Cu -9.531 2.328 0.851
Cu -8.857 1.914 -1.538
Cu -4.023 3.724 0.620
Cu -4.638 2.179 -2.044
Cu -8.035 3.978 2.022
Cu -5.395 0.901 0.723
Cu -7.024 5.687 -1.675
```

Results
Energy of formation, eV/atom: 0.3041
Density of states at the Fermi level, states/eV/atom: 0.31
Total energy, eV per atom: -3.72
Symmetry: No. 166

---

Crystalline Sr3NF at its relaxed geometry, computed with PBE.

Cell and atoms, written as extended XYZ:
```
5
Lattice="5.239 0.000 0.000 0.000 5.239 0.000 0.000 0.000 5.239" Properties=species:S:1:pos:R:3 pbc="T T T"
Sr 0.000 2.619 0.000
Sr 0.000 0.000 2.619
Sr 2.619 0.000 0.000
N 0.000 0.000 0.000
F 2.619 2.619 2.619
```

Results
Density of states at the Fermi level, states/eV/atom: 0.63
Total energy, eV per atom: -3.92
Symmetry: No. 221
Energy above the lowest structure with this stoichiometry, meV per atom: 516

---

Crystalline BaMg at its relaxed geometry, computed with PBE.

Cell and atoms, written as extended XYZ:
```
2
Lattice="4.361 0.000 0.000 -2.181 3.777 0.000 0.000 0.000 5.590" Properties=species:S:1:pos:R:3 pbc="T T T"
Ba 0.000 0.000 0.000
Mg 0.000 2.518 2.795
```

Results
Energy of formation, eV/atom: 0.1521
Density of states at the Fermi level, states/eV/atom: 0.71
Total energy, eV per atom: -1.61
Symmetry: No. 187

---

Crystalline NdErLuCd at its relaxed geometry, computed with PBE.

Cell and atoms, written as extended XYZ:
```
4
Lattice="5.456 0.000 0.000 2.728 4.725 0.000 2.728 1.575 4.454" Properties=species:S:1:pos:R:3 pbc="T T T"
Cd 8.183 4.725 3.341
Lu 2.728 1.575 1.114
Nd 0.000 0.000 0.000
Er 5.456 3.150 2.227
```

Results
Energy of formation, eV/atom: -0.0403
Density of states at the Fermi level, states/eV/atom: 1.17
Total energy, eV per atom: -3.73
Symmetry: No. 216

---

Crystalline RbCd2GaOs at its relaxed geometry, computed with PBE.

Cell and atoms, written as extended XYZ:
```
5
Lattice="5.301 0.000 0.000 0.000 5.696 0.000 0.000 0.000 5.301" Properties=species:S:1:pos:R:3 pbc="T T T"
Os 0.000 0.000 0.000
Ga 2.650 2.848 2.650
Rb 0.000 2.848 0.000
Cd 0.000 0.000 2.650
Cd 2.650 0.000 0.000
```

Results
Energy of formation, eV/atom: 0.9989
Density of states at the Fermi level, states/eV/atom: 0.54
Total energy, eV per atom: -2.41
Symmetry: No. 123

---

Crystalline Tb4Y11Ho9 at its relaxed geometry, computed with PBE.

Cell and atoms, written as extended XYZ:
```
24
Lattice="3.677 0.000 0.000 0.000 13.865 -5.890 0.000 0.033 15.064" Properties=species:S:1:pos:R:3 pbc="T T T"
Tb 1.839 7.704 8.120
Tb 1.839 6.194 1.054
Tb 1.839 10.494 3.893
Tb 1.839 3.404 5.281
Y 0.000 8.260 10.894
Y 0.000 5.638 -1.720
Y 0.000 13.263 3.314
Y 0.000 0.635 5.860
Y 0.000 8.790 1.798
Y 0.000 5.108 7.376
Y 0.000 11.659 -2.548
Y 0.000 2.239 11.722
Y 0.000 0.000 0.000
Y 0.000 9.845 6.499
Y 0.000 4.053 2.676
Ho 1.839 8.772 -1.250
Ho 1.839 5.126 10.424
Ho 1.839 2.298 8.557
Ho 1.839 11.600 0.617
Ho 1.839 10.932 9.394
Ho 1.839 2.966 -0.219
Ho 1.839 12.934 6.361
Ho 1.839 0.964 2.814
Ho 1.839 6.949 4.587
```

Results
Energy of formation, eV/atom: 0.0494
Density of states at the Fermi level, states/eV/atom: 1.29
Total energy, eV per atom: -5.40
Symmetry: No. 65

---

Crystalline YPW at its relaxed geometry, computed with PBE.

Cell and atoms, written as extended XYZ:
```
3
Lattice="1.751 -3.033 0.000 1.751 3.033 0.000 0.000 0.000 5.652" Properties=species:S:1:pos:R:3 pbc="T T T"
Y 1.751 -1.011 3.968
P 0.000 0.000 0.190
W 1.751 1.011 1.494
```

Results
Energy of formation, eV/atom: -0.2632
Density of states at the Fermi level, states/eV/atom: 0.94
Total energy, eV per atom: -8.54
Symmetry: No. 156
Energy above the lowest structure with this stoichiometry, meV per atom: 387

---

Crystalline MgTa3Tl at its relaxed geometry, computed with PBE.

Cell and atoms, written as extended XYZ:
```
5
Lattice="-2.987 4.134 -0.220 -3.981 -2.942 -1.247 -1.136 -0.558 4.945" Properties=species:S:1:pos:R:3 pbc="T T T"
Tl 0.000 0.000 0.000
Mg -4.052 0.317 1.739
Ta -1.990 -1.471 -0.623
Ta -0.568 -0.279 2.473
Ta -1.493 2.067 -0.110
```

Results
Energy of formation, eV/atom: 2.1816
Density of states at the Fermi level, states/eV/atom: 0.38
Total energy, eV per atom: -5.72
Symmetry: No. 221
Energy above the lowest structure with this stoichiometry, meV per atom: 406